1.
Density functional theory data (PBE-GGA) for a geometry-optimized ZnRu2N structure.

Output
- symmetry = Fm-3m
- volume (Å³/cell) = 48.6
- N(E_F) (states/eV/f.u.) = 4.48

a b c (Å): 4.0954 4.0954 4.0954
angles (deg): 60.00 60.00 60.00
With the nearest neighbours (Å) after each atom.
Positions (direct):
Ru (0.2500, 0.2500, 0.2500)  4 Zn 2.51, 4 N 2.51
Ru (0.7500, 0.7500, 0.7500)  4 N 2.51, 4 Zn 2.51
Zn (0.5000, 0.5000, 0.5000)  8 Ru 2.51
N (0.0000, 0.0000, 0.0000)  8 Ru 2.51



2.
Density functional theory data (PBE-GGA) for a geometry-optimized ZnRu2N structure.

Output
- symmetry = I-42d
- volume (Å³/cell) = 105.8
- N(E_F) (states/eV/f.u.) = 2.58

a b c (Å): 6.3337 6.3337 5.1975
angles (deg): 52.46 52.46 90.00
With the nearest neighbours (Å) after each atom.
Positions (direct):
Ru (0.5190, 0.1250, 0.2500)  2 N 1.94
Ru (0.2310, 0.6250, 0.2500)  2 N 1.94
Ru (0.3750, 0.4810, 0.7500)  2 N 1.94
Ru (0.8750, 0.7690, 0.7500)  2 N 1.94
Zn (0.0000, 0.0000, 0.0000)  2 N 2.64, 8 Ru 2.69-2.83
Zn (0.7500, 0.2500, 0.5000)  2 N 2.64, 8 Ru 2.69-2.83
N (0.5000, 0.5000, 0.0000)  4 Ru 1.94
N (0.2500, 0.7500, 0.5000)  4 Ru 1.94



Quick one: least stable of them? 1



1.
Density functional theory data (PBE-GGA) for a geometry-optimized ZnRu2N2 structure.

Output
- symmetry = P4/mbm
- volume (Å³/cell) = 108.7
- N(E_F) (states/eV/f.u.) = 4.38

a b c (Å): 6.3319 6.3319 2.7123
angles (deg): 90.00 90.00 90.00
With the nearest neighbours (Å) after each atom.
Positions (direct):
Ru (0.1795, 0.6795, 0.5000)  2 N 2.04
Ru (0.6795, 0.8205, 0.5000)  2 N 2.04
Ru (0.8205, 0.3205, 0.5000)  2 N 2.04
Ru (0.3205, 0.1795, 0.5000)  2 N 2.04
Zn (0.0000, 0.0000, 0.0000)  4 N 2.41, 8 Ru 2.69
Zn (0.5000, 0.5000, 0.0000)  4 N 2.41, 8 Ru 2.69
N (0.3502, 0.8502, 0.0000)  2 Ru 2.04
N (0.8502, 0.6498, 0.0000)  2 Ru 2.04
N (0.6498, 0.1498, 0.0000)  2 Ru 2.04
N (0.1498, 0.3502, 0.0000)  2 Ru 2.04



2.
Density functional theory data (PBE-GGA) for a geometry-optimized ZnRu2N2 structure.

Output
- symmetry = I4/mmm
- volume (Å³/cell) = 62.7
- N(E_F) (states/eV/f.u.) = 1.20

a b c (Å): 3.7876 3.7876 5.1254
angles (deg): 68.32 68.32 90.00
With the nearest neighbours (Å) after each atom.
Positions (direct):
Ru (0.7500, 0.2500, 0.5000)  4 N 2.08
Ru (0.2500, 0.7500, 0.5000)  4 N 2.08
Zn (0.0000, 0.0000, 0.0000)  8 Ru 2.89, 10 N 2.99-3.04
N (0.3473, 0.3473, 0.3054)  4 Ru 2.08
N (0.6527, 0.6527, 0.6946)  4 Ru 2.08



Quick one: least stable of them? 1